DFT (PBE-GGA) results for CsYCu after structural relaxation.

## Properties
magnetic moment: 0.02 Bohr magnetons per cell
symmetry: F-43m (216)
E_tot: -2.871 eV per atom

abc: 5.3360 5.3360 5.3360
angles: 60.00 60.00 60.00
Closest atoms and distances in Å follow each position.
Positions (direct):
Cs: 0.0000 0.0000 0.0000  4 Cu 3.27
Y: 0.5000 0.5000 0.5000  4 Cu 3.27
Cu: 0.2500 0.2500 0.2500  4 Y 3.27, 4 Cs 3.27


DFT (PBE-GGA) results for SmAgSb after structural relaxation.

## Properties
magnetic moment: 0.00 Bohr magnetons per cell
symmetry: F-43m (216)
E_tot: -4.247 eV per atom

abc: 5.0394 5.0394 5.0394
angles: 60.00 60.00 60.00
Closest atoms and distances in Å follow each position.
Positions (direct):
Sm: 0.0000 0.0000 0.0000  4 Ag 3.09, 4 Sb 3.09
Ag: 0.7500 0.7500 0.7500  4 Sm 3.09
Sb: 0.2500 0.2500 0.2500  4 Sm 3.09


DFT (PBE-GGA) results for NdOsCl after structural relaxation.

## Properties
magnetic moment: 0.00 Bohr magnetons per cell
symmetry: C2/m (12)
E_tot: -7.050 eV per atom

abc: 4.1923 4.1923 11.0959
angles: 91.83 91.83 60.21
Closest atoms and distances in Å follow each position.
Positions (direct):
Nd: 0.0120 0.0120 0.1917  3 Cl 2.94-2.96, 3 Os 3.11-3.13
Nd: 0.9880 0.9880 0.8083  3 Cl 2.94-2.96, 3 Os 3.11-3.13
Os: 0.3339 0.3339 0.0143  3 Os 2.44
Os: 0.6661 0.6661 0.9857  3 Os 2.44
Cl: 0.3154 0.3154 0.6575  3 Nd 2.94-2.96
Cl: 0.6846 0.6846 0.3425  3 Nd 2.94-2.96


DFT (PBE-GGA) results for NdCoSiGe2 after structural relaxation.

## Properties
magnetic moment: 0.00 Bohr magnetons per cell
symmetry: I4mm (107)
E_tot: -5.888 eV per atom

abc: 5.7251 5.7251 5.7251
angles: 136.15 136.15 63.75
Closest atoms and distances in Å follow each position.
Positions (direct):
Nd: 0.0000 0.0000 0.0000  4 Si 3.11, 8 Ge 3.18-3.29, 5 Co 3.36-3.37
Co: 0.6541 0.6541 0.0000  1 Si 2.21, 4 Ge 2.36
Si: 0.4270 0.4270 0.0000  1 Co 2.21
Ge: 0.2576 0.7576 0.5000  2 Co 2.36
Ge: 0.7576 0.2576 0.5000  2 Co 2.36


DFT (PBE-GGA) results for HoErSi2Ir after structural relaxation.

## Properties
magnetic moment: 0.00 Bohr magnetons per cell
symmetry: C2/m (12)
E_tot: -6.746 eV per atom

abc: 5.5870 5.5870 10.0593
angles: 115.27 115.27 44.51
Closest atoms and distances in Å follow each position.
Positions (direct):
Ho: 0.1903 0.1903 0.1135  6 Si 2.96-3.06, 2 Ir 3.03
Ho: 0.8097 0.8097 0.8865  6 Si 2.96-3.06, 2 Ir 3.03
Er: 0.0053 0.0053 0.3272  4 Ir 2.94-3.17, 7 Si 2.94-3.26
Er: 0.9947 0.9947 0.6728  4 Ir 2.94-3.17, 7 Si 2.94-3.26
Si: 0.3567 0.3567 0.4450  3 Ir 2.45-2.65, 1 Si 2.64
Si: 0.4873 0.4873 0.1160  1 Si 2.47, 1 Ir 2.50
Si: 0.5127 0.5127 0.8840  1 Si 2.47, 1 Ir 2.50
Si: 0.6433 0.6433 0.5550  3 Ir 2.45-2.65, 1 Si 2.64
Ir: 0.2705 0.2705 0.6556  4 Si 2.45-2.65
Ir: 0.7295 0.7295 0.3444  4 Si 2.45-2.65


DFT (PBE-GGA) results for BaTbAuS3 after structural relaxation.

## Properties
magnetic moment: 0.01 Bohr magnetons per cell
symmetry: C2/m (12)
E_tot: -5.230 eV per atom

abc: 9.1405 9.1405 8.4715
angles: 100.87 100.87 25.68
Closest atoms and distances in Å follow each position.
Positions (direct):
Ba: 0.1327 0.1327 0.0789  7 S 3.09-3.26
Ba: 0.8673 0.8673 0.9211  7 S 3.09-3.26
Tb: 0.1629 0.1629 0.5850  6 S 2.76-2.85
Tb: 0.8371 0.8371 0.4150  6 S 2.76-2.85
Au: 0.4614 0.4614 0.2828  4 S 2.52-2.74
Au: 0.5386 0.5386 0.7172  4 S 2.52-2.74
S: 0.0000 0.0000 0.5000  4 Au 2.74, 2 Tb 2.85
S: 0.3184 0.3184 0.1853  1 Au 2.52, 2 Tb 2.79
S: 0.3230 0.3230 0.6281  3 Tb 2.76-2.81
S: 0.5000 0.5000 0.0000  2 Au 2.62
S: 0.6770 0.6770 0.3719  3 Tb 2.76-2.81
S: 0.6816 0.6816 0.8147  1 Au 2.52, 2 Tb 2.79


> Which value of E_tot does entry 3 give?

-7.050 eV per atom